Entry from Alexandria via LeMat-Bulk: a geometry-optimized Tm2In5Rh3 structure (GGA-PBE).

Output
Its energy relative to the elements is -0.54 eV/atom. The crystal system is orthorhombic. For the density of states at the Fermi level, the calculation gives 9.8 states/eV per cell.

Unit cell a=4.3870 b=7.2810 c=13.3830 alpha=90.00 beta=99.43 gamma=90.00
Last column: nearest neighbours and their distance in Å.
Sites, in units of the cell vectors:
Tm 0.4732 0.8029 0.9464  3 Rh 2.78-3.03
Tm 0.1768 0.6821 0.3536  4 Rh 3.00-3.27, 5 In 3.16-3.26
Tm 0.8232 0.1821 0.6464  4 Rh 3.00-3.27, 5 In 3.16-3.26
Tm 0.5268 0.3029 0.0536  3 Rh 2.78-3.03
In 0.4031 0.4126 0.8062  3 Rh 2.74-2.81, 1 In 2.96
In 0.2922 0.4743 0.5845  3 Rh 2.71, 2 In 2.96
In 0.7078 0.9743 0.4155  3 Rh 2.71, 2 In 2.96
In 0.1262 0.2522 0.2525  4 Rh 2.79-3.01
In 0.2935 0.8809 0.5871  4 Rh 2.70-2.74, 1 In 2.96
In 0.9458 0.1344 0.8916  4 Rh 2.67-2.83
In 0.7065 0.3809 0.4129  4 Rh 2.70-2.74, 1 In 2.96
In 0.8738 0.7522 0.7475  4 Rh 2.79-3.01
In 0.0542 0.6344 0.1084  4 Rh 2.67-2.83
In 0.5969 0.9126 0.1938  3 Rh 2.74-2.81, 1 In 2.96
Rh 0.7688 0.6753 0.5375  7 In 2.70-2.83
Rh 0.6115 0.5299 0.2231  6 In 2.73-3.01, 3 Tm 2.78-3.00
Rh 0.0419 0.0203 0.0839  5 In 2.67-2.83
Rh 0.2312 0.1753 0.4625  7 In 2.70-2.83
Rh 0.9581 0.5203 0.9161  5 In 2.67-2.83
Rh 0.3885 0.0299 0.7769  6 In 2.73-3.01, 3 Tm 2.78-3.00

---

Entry from Alexandria via LeMat-Bulk: a geometry-optimized Pm4Hg2N structure (GGA-PBE).

Output
As for the energy above the lowest structure with this stoichiometry: 55 meV/atom. Its uncorrected formation energy is -0.6075 eV/atom. The crystal system is monoclinic. For the density of states at the Fermi level, the calculation gives 13.9 states/eV per cell.

Unit cell a=7.6090 b=6.9470 c=7.8687 alpha=90.00 beta=105.25 gamma=90.00
Last column: nearest neighbours and their distance in Å.
Sites, in units of the cell vectors:
Pm 0.4634 0.5014 0.2369  1 N 2.29
Pm 0.0851 0.7500 0.9064  1 N 2.24
Pm 0.9149 0.2500 0.0936  1 N 2.24
Pm 0.4634 0.9986 0.2369  1 N 2.29
Pm 0.8903 0.2500 0.5993  1 N 2.27
Pm 0.5366 0.0014 0.7631  1 N 2.29
Pm 0.5366 0.4986 0.7631  1 N 2.29
Pm 0.1097 0.7500 0.4007  1 N 2.27
Hg 0.7516 0.7500 0.0929  6 Pm 3.13-3.25, 1 Hg 3.48
Hg 0.2484 0.2500 0.9071  6 Pm 3.13-3.25, 1 Hg 3.48
Hg 0.2550 0.2500 0.4664  6 Pm 3.21-3.36, 1 Hg 3.48
Hg 0.7450 0.7500 0.5336  6 Pm 3.21-3.36, 1 Hg 3.48
N 0.2581 0.7500 0.1851  4 Pm 2.24-2.29
N 0.7419 0.2500 0.8149  4 Pm 2.24-2.29

---

Entry from Alexandria via LeMat-Bulk: a geometry-optimized KRbSr structure (GGA-PBE).

Output
Its energy relative to the elements is 0.06 eV/atom. As for the energy above the lowest structure with this stoichiometry: 0 meV/atom. The crystal system is monoclinic. For the density of states at the Fermi level, the calculation gives 5.9 states/eV per cell.

Unit cell a=4.5269 b=4.5269 c=24.1000 alpha=79.01 beta=79.01 gamma=59.95
Last column: nearest neighbours and their distance in Å.
Sites, in units of the cell vectors:
Sr 0.4939 0.4939 0.2256  9 Sr 4.27-4.53, 3 K 4.57-4.58
Sr 0.2590 0.2590 0.0816  9 Sr 4.27-4.53, 3 K 4.57-4.58
K 0.7173 0.7173 0.3855  6 K 4.52-4.53, 3 Sr 4.57-4.58, 3 Rb 4.88-4.90
K 0.0357 0.0357 0.9218  6 K 4.52-4.53, 3 Sr 4.57-4.58, 3 Rb 4.88-4.90
Rb 0.2679 0.2679 0.5616  8 Rb 4.52-5.04, 3 K 4.88-4.90
Rb 0.4857 0.4857 0.7458  8 Rb 4.52-5.04, 3 K 4.88-4.90

---

Repeat the first record exactly.
Entry from Alexandria via LeMat-Bulk: a geometry-optimized Tm2In5Rh3 structure (GGA-PBE).

Output
Its energy relative to the elements is -0.54 eV/atom. The crystal system is orthorhombic. For the density of states at the Fermi level, the calculation gives 9.8 states/eV per cell.

Unit cell a=4.3870 b=7.2810 c=13.3830 alpha=90.00 beta=99.43 gamma=90.00
Last column: nearest neighbours and their distance in Å.
Sites, in units of the cell vectors:
Tm 0.4732 0.8029 0.9464  3 Rh 2.78-3.03
Tm 0.1768 0.6821 0.3536  4 Rh 3.00-3.27, 5 In 3.16-3.26
Tm 0.8232 0.1821 0.6464  4 Rh 3.00-3.27, 5 In 3.16-3.26
Tm 0.5268 0.3029 0.0536  3 Rh 2.78-3.03
In 0.4031 0.4126 0.8062  3 Rh 2.74-2.81, 1 In 2.96
In 0.2922 0.4743 0.5845  3 Rh 2.71, 2 In 2.96
In 0.7078 0.9743 0.4155  3 Rh 2.71, 2 In 2.96
In 0.1262 0.2522 0.2525  4 Rh 2.79-3.01
In 0.2935 0.8809 0.5871  4 Rh 2.70-2.74, 1 In 2.96
In 0.9458 0.1344 0.8916  4 Rh 2.67-2.83
In 0.7065 0.3809 0.4129  4 Rh 2.70-2.74, 1 In 2.96
In 0.8738 0.7522 0.7475  4 Rh 2.79-3.01
In 0.0542 0.6344 0.1084  4 Rh 2.67-2.83
In 0.5969 0.9126 0.1938  3 Rh 2.74-2.81, 1 In 2.96
Rh 0.7688 0.6753 0.5375  7 In 2.70-2.83
Rh 0.6115 0.5299 0.2231  6 In 2.73-3.01, 3 Tm 2.78-3.00
Rh 0.0419 0.0203 0.0839  5 In 2.67-2.83
Rh 0.2312 0.1753 0.4625  7 In 2.70-2.83
Rh 0.9581 0.5203 0.9161  5 In 2.67-2.83
Rh 0.3885 0.0299 0.7769  6 In 2.73-3.01, 3 Tm 2.78-3.00

---

> Among the records above, which one has the lowest density of states at the Fermi level?

KRbSr

---

> Look up the density of states at the Fermi level of the second one.

13.9 states/eV per cell